Record 1
The following is a PBE calculation of a relaxed Zr2SiIr crystal, from Alexandria.

a b c (Å): 3.049 3.049 7.667
angles (deg): 90.00 90.00 90.00
Atoms (fractional coordinates):
Zr: 0.000 0.000 0.245
Zr: 0.000 0.000 0.755
Si: 0.500 0.500 0.500
Ir: 0.500 0.500 0.000

As for the uncorrected formation energy: -61.2 kJ/mol of atoms. Its space group is P4/mmm.

---

Record 2
The following is a PBE calculation of a relaxed MnZn3Rh3 crystal, from Alexandria.

a b c (Å): 5.189 5.189 5.189
angles (deg): 109.52 109.52 109.52
Atoms (fractional coordinates):
Mn: 0.000 0.000 0.000
Zn: 0.001 0.501 0.501
Zn: 0.501 0.001 0.501
Zn: 0.501 0.501 0.001
Rh: 0.001 0.001 0.501
Rh: 0.001 0.501 0.001
Rh: 0.501 0.001 0.001

Its space group is R3m. The formation energy from the elements comes out at -280 meV/atom.

---

Record 3
The following is a PBE calculation of a relaxed LaBi6Pd12 crystal, from Alexandria.

a b c (Å): 7.759 7.759 7.759
angles (deg): 103.79 103.79 103.79
Atoms (fractional coordinates):
La: 0.000 0.000 0.000
Bi: 0.262 0.262 0.669
Bi: 0.262 0.669 0.262
Bi: 0.331 0.738 0.738
Bi: 0.669 0.262 0.262
Bi: 0.738 0.331 0.738
Bi: 0.738 0.738 0.331
Pd: 0.099 0.334 0.334
Pd: 0.119 0.500 0.881
Pd: 0.119 0.881 0.500
Pd: 0.334 0.099 0.334
Pd: 0.334 0.334 0.099
Pd: 0.500 0.119 0.881
Pd: 0.500 0.881 0.119
Pd: 0.666 0.666 0.901
Pd: 0.666 0.901 0.666
Pd: 0.881 0.119 0.500
Pd: 0.881 0.500 0.119
Pd: 0.901 0.666 0.666

Its space group is R-3m. The formation energy from the elements comes out at -248 meV/atom.

---

It is found that the electronic total energy values, taken in the order of the records, are -8.48 -5.29 -5.01 eV/atom.
It is found that the total magnetic moment values, taken in the order of the records, are 0.00 0.60 0.00 μB/atom.